DFT (PBE) results for a relaxed structure of LiErCu2.

Cell: 4.2672 4.2672 13.2833 Å, 90.00 90.00 120.00°
Space group R-3m (No. 166, hexagonal axes)
Inequivalent atoms, fractional coordinates:
1 Li 0.0000 0.0000 0.0000 x3
2 Er 0.0000 0.0000 0.5000 x3
3 Cu 0.0000 0.0000 0.2896 x6

Output
Its total magnetization is 0.0 μB/f.u. The value obtained for the calculated formation energy is -0.1275 eV per atom.